No. 1
VASP calculation (PBE) on crystalline CdHgPdPb at its relaxed geometry.

Cell and atoms, written as POSCAR:
```
CdHgPdPb
1.0
0.000 3.555 3.555
3.555 0.000 3.555
3.555 3.555 0.000
Cd Hg Pd Pb
1 1 1 1
Direct
0.000 0.000 0.000 Cd
0.750 0.750 0.750 Hg
0.250 0.250 0.250 Pd
0.500 0.500 0.500 Pb
```

Summary:
The volume comes out at 89.86 Å³/f.u. Its calculated formation energy is 0.0097 eV/atom.

No. 2
VASP calculation (PBE) on crystalline YCoTe at its relaxed geometry.

Cell and atoms, written as POSCAR:
```
YCoTe
1.0
3.760 0.000 0.000
-1.880 3.256 0.000
0.000 0.000 11.290
Y Co Te
2 2 2
Direct
0.000 0.000 0.153 Y
0.000 0.000 0.847 Y
0.000 0.000 0.500 Co
0.667 0.333 0.000 Co
0.667 0.333 0.362 Te
0.667 0.333 0.638 Te
```

Summary:
The volume comes out at 69.10 Å³/f.u. Its uncorrected formation energy is -0.16 eV/atom.

No. 3
VASP calculation (PBE) on crystalline Cs3RbO2 at its relaxed geometry.

Cell and atoms, written as POSCAR:
```
Cs3RbO2
1.0
5.086 2.937 4.163
-5.086 2.937 4.163
0.000 -5.873 4.163
Cs Rb O
6 2 4
Direct
0.250 0.250 0.749 Cs
0.250 0.749 0.250 Cs
0.251 0.750 0.750 Cs
0.749 0.250 0.250 Cs
0.750 0.251 0.750 Cs
0.750 0.750 0.251 Cs
0.249 0.249 0.249 Rb
0.751 0.751 0.751 Rb
0.000 0.000 0.000 O
0.000 0.500 0.500 O
0.500 0.000 0.500 O
0.500 0.500 0.000 O
```

Summary:
The volume comes out at 186.52 Å³/f.u. Its uncorrected formation energy is -0.88 eV/atom.

No. 4
VASP calculation (PBE) on crystalline Pr2SmPd at its relaxed geometry.

Cell and atoms, written as POSCAR:
```
Pr2SmPd
1.0
1.961 1.132 9.647
-1.961 1.132 9.647
0.000 -2.265 9.647
Pr Sm Pd
2 1 1
Direct
0.000 0.000 0.000 Pr
0.203 0.203 0.203 Pr
0.435 0.435 0.435 Sm
0.602 0.602 0.602 Pd
```

Summary:
The volume comes out at 128.57 Å³/f.u. Its calculated formation energy is -0.2373 eV/atom.

No. 5
VASP calculation (PBE) on crystalline KAg3Pd2 at its relaxed geometry.

Cell and atoms, written as POSCAR:
```
KAg3Pd2
1.0
5.463 -4.620 0.000
5.463 4.620 0.000
0.000 0.000 5.480
K Ag Pd
2 6 4
Direct
0.169 0.831 0.750 K
0.831 0.169 0.250 K
0.035 0.556 0.250 Ag
0.439 0.561 0.250 Ag
0.444 0.965 0.250 Ag
0.556 0.035 0.750 Ag
0.561 0.439 0.750 Ag
0.965 0.444 0.750 Ag
0.284 0.284 0.000 Pd
0.284 0.284 0.500 Pd
0.716 0.716 0.000 Pd
0.716 0.716 0.500 Pd
```

Summary:
The volume comes out at 138.32 Å³/f.u. Its calculated formation energy is -0.0011 eV/atom.

No. 6
VASP calculation (PBE) on crystalline KHgP2H6 at its relaxed geometry.

Cell and atoms, written as POSCAR:
```
KHgP2H6
1.0
5.065 -5.027 0.000
5.065 5.027 0.000
-0.003 0.000 6.149
K Hg P H
2 2 4 12
Direct
0.207 0.793 0.750 K
0.793 0.207 0.250 K
0.431 0.569 0.250 Hg
0.569 0.431 0.750 Hg
0.117 0.261 0.752 P
0.261 0.117 0.252 P
0.739 0.883 0.748 P
0.883 0.739 0.248 P
0.083 0.693 0.247 H
0.158 0.394 0.581 H
0.159 0.394 0.924 H
0.307 0.917 0.253 H
0.394 0.158 0.081 H
0.394 0.159 0.424 H
0.606 0.841 0.576 H
0.606 0.842 0.919 H
0.693 0.083 0.747 H
0.841 0.606 0.076 H
0.842 0.606 0.419 H
0.917 0.307 0.753 H
```

Summary:
The volume comes out at 156.57 Å³/f.u. For the total energy, the calculation gives -3.259 eV/atom.

No. 7
VASP calculation (PBE) on crystalline La2MnPbSe5 at its relaxed geometry.

Cell and atoms, written as POSCAR:
```
La2MnPbSe5
1.0
2.115 -8.967 0.000
2.115 8.967 0.000
0.000 0.000 12.746
La Mn Pb Se
4 2 2 10
Direct
0.114 0.886 0.500 La
0.129 0.871 0.152 La
0.871 0.129 0.652 La
0.886 0.114 0.000 La
0.458 0.542 0.226 Mn
0.542 0.458 0.726 Mn
0.180 0.820 0.848 Pb
0.820 0.180 0.348 Pb
0.000 0.000 0.313 Se
0.000 0.000 0.813 Se
0.289 0.711 0.514 Se
0.326 0.674 0.163 Se
0.341 0.659 0.827 Se
0.484 0.516 0.550 Se
0.516 0.484 0.050 Se
0.659 0.341 0.327 Se
0.674 0.326 0.663 Se
0.711 0.289 0.014 Se
```

Summary:
The volume comes out at 241.70 Å³/f.u. Its uncorrected formation energy is -1.33 eV/atom.

No. 8
VASP calculation (PBE) on crystalline Ta2TlHg at its relaxed geometry.

Cell and atoms, written as POSCAR:
```
Ta2TlHg
1.0
1.538 0.888 10.365
-1.538 0.888 10.365
0.000 -1.776 10.365
Ta Tl Hg
2 1 1
Direct
0.000 0.000 0.000 Ta
0.256 0.256 0.256 Ta
0.506 0.506 0.506 Tl
0.746 0.746 0.746 Hg
```

Summary:
The volume comes out at 84.91 Å³/f.u. Its calculated formation energy is 0.4812 eV/atom.